Here is an optimized crystal structure of PtW2Br from the Alexandria database. Energies are from PBE-GGA.

```
4
Lattice="-4.503 -0.521 -2.933 4.546 -0.509 -2.570 -0.151 -2.809 -0.571" Properties=species:S:1:pos:R:3 pbc="T T T"
Br 2.198 -1.659 -1.570
W 0.000 0.000 0.000
W -2.327 -1.665 -1.752
Pt 0.022 -0.515 -2.752
```

Calculated values
E, eV/f.u.: -29.696
Excess energy over the best structure of this formula in the dataset, meV per atom: 576
Crystal system: monoclinic
Space group: C2/m, No. 12
Formation energy (no corrections), meV per atom: 981